The following is a DFT calculation (GGA+U) of a relaxed structure of NaHf2CrF.

Computed properties:
The value obtained for the density of states at the Fermi level is 4.87 states/eV/cell. As for the total energy: -31.43 eV for the cell shown.

Unit cell a=4.593 b=4.375 c=4.593 alpha=90.00 beta=90.00 gamma=90.00
Element x y z (fractional)
Na (0.000, 0.500, 0.000)
Hf (0.500, 0.000, 0.000)
Hf (0.000, 0.000, 0.500)
F (0.000, 0.000, 0.000)
Cr (0.500, 0.500, 0.500)



The following is a DFT calculation (GGA+U) of a relaxed structure of HfCrO2F.

Computed properties:
The value obtained for the density of states at the Fermi level is 1.53 states/eV/cell. As for the total energy: -41.40 eV for the cell shown.

Unit cell a=4.094 b=4.094 c=4.171 alpha=90.00 beta=90.00 gamma=90.00
Element x y z (fractional)
F (0.000, 0.000, 0.500)
Cr (0.500, 0.500, 0.500)
O (0.500, 0.000, 0.000)
O (0.000, 0.500, 0.000)
Hf (0.000, 0.000, 0.000)



The following is a DFT calculation (GGA+U) of a relaxed structure of HfCrO2F.

Computed properties:
The value obtained for the density of states at the Fermi level is 2.46 states/eV/cell. As for the total energy: -36.45 eV for the cell shown.

Unit cell a=3.928 b=3.928 c=3.888 alpha=90.00 beta=90.00 gamma=90.00
Element x y z (fractional)
O (0.000, 0.500, 0.000)
O (0.500, 0.000, 0.000)
Cr (0.000, 0.000, 0.000)
F (0.000, 0.000, 0.500)
Hf (0.500, 0.500, 0.500)



The following is a DFT calculation (GGA+U) of a relaxed structure of HfCrPdF2.

Computed properties:
The value obtained for the density of states at the Fermi level is 2.25 states/eV/cell. As for the total energy: -32.65 eV for the cell shown.

Unit cell a=4.014 b=5.976 c=4.014 alpha=90.00 beta=90.00 gamma=90.00
Element x y z (fractional)
F (0.500, 0.000, 0.000)
F (0.000, 0.000, 0.500)
Cr (0.000, 0.500, 0.000)
Hf (0.000, 0.000, 0.000)
Pd (0.500, 0.500, 0.500)



The following is a DFT calculation (GGA+U) of a relaxed structure of HfCrPtF2.

Computed properties:
The value obtained for the density of states at the Fermi level is 1.91 states/eV/cell. As for the total energy: -35.51 eV for the cell shown.

Unit cell a=4.068 b=4.068 c=5.438 alpha=90.00 beta=90.00 gamma=90.00
Element x y z (fractional)
Pt (0.000, 0.000, 0.500)
Cr (0.500, 0.500, 0.500)
F (0.000, 0.500, 0.000)
F (0.500, 0.000, 0.000)
Hf (0.000, 0.000, 0.000)



The following is a DFT calculation (GGA+U) of a relaxed structure of Rb2HfCrF6.

Computed properties:
The value obtained for the density of states at the Fermi level is 2.64 states/eV/cell. As for the total energy: -58.47 eV for the cell shown.

Unit cell a=6.771 b=6.771 c=6.775 alpha=60.02 beta=60.02 gamma=90.00
Element x y z (fractional)
F (0.790, 0.790, 0.420)
F (0.790, 0.210, 0.000)
F (0.210, 0.210, 0.580)
F (0.210, 0.210, 0.000)
F (0.790, 0.790, 0.000)
F (0.210, 0.790, 0.000)
Rb (0.750, 0.250, 0.500)
Rb (0.250, 0.750, 0.500)
Cr (0.500, 0.500, 0.000)
Hf (0.000, 0.000, 0.000)



The following is a DFT calculation (GGA+U) of a relaxed structure of Sr2HfCrF.

Computed properties:
The value obtained for the density of states at the Fermi level is 4.21 states/eV/cell. As for the total energy: -21.49 eV for the cell shown.

Unit cell a=4.770 b=5.737 c=4.770 alpha=90.00 beta=90.00 gamma=90.00
Element x y z (fractional)
Cr (0.000, 0.500, 0.000)
Sr (0.500, 0.000, 0.000)
Sr (0.000, 0.000, 0.500)
F (0.000, 0.000, 0.000)
Hf (0.500, 0.500, 0.500)



The following is a DFT calculation (GGA+U) of a relaxed structure of CrHgF6.

Computed properties:
The value obtained for the density of states at the Fermi level is 0.00 states/eV/cell. As for the total energy: -35.03 eV for the cell shown.

Unit cell a=5.312 b=5.291 c=5.746 alpha=62.42 beta=62.15 gamma=59.51
Element x y z (fractional)
F (0.430, 0.138, 0.722)
F (0.292, 0.571, 0.276)
F (0.866, 0.287, 0.276)
F (0.134, 0.713, 0.724)
F (0.570, 0.862, 0.278)
F (0.708, 0.429, 0.724)
Hg (0.000, 0.000, 0.000)
Cr (0.500, 0.500, 0.500)



- Which formula does entry 2 have?
  HfCrO2F



- Which formula does entry 3 have?
  HfCrO2F



- What is the formula in the eighth record?
  CrHgF6